Entry 1:
{"formula": "Cr3CuPt", "functional": "PBE-GGA", "state": "relaxed", "dos_ef_per_ev_cell": 8.22, "e_form_ev_per_atom": 1.2501, "space_group": "Pm-3m", "cell": [[4.484, 0.000, 0.000], [0.000, 4.484, 0.000], [0.000, 0.000, 4.484]], "species": ["Cr", "Cr", "Cr", "Cu", "Pt"], "fractional_positions": [[0.000, 0.000, 0.500], [0.000, 0.500, 0.000], [0.500, 0.000, 0.000], [0.000, 0.000, 0.000], [0.500, 0.500, 0.500]]}

=====

Entry 2:
{"formula": "KAc4Tl3O12", "functional": "PBE-GGA", "state": "relaxed", "dos_ef_per_ev_cell": 11.59, "space_group": "Im-3", "formation_energy_uncorrected_ev_per_atom": -1.90, "cell": [[-4.547, 4.547, 4.547], [4.547, -4.547, 4.547], [4.547, 4.547, -4.547]], "species": ["K", "Ac", "Ac", "Ac", "Ac", "Tl", "Tl", "Tl", "O", "O", "O", "O", "O", "O", "O", "O", "O", "O", "O", "O"], "fractional_positions": [[0.000, 0.000, 0.000], [0.000, 0.000, 0.500], [0.000, 0.500, 0.000], [0.500, 0.000, 0.000], [0.500, 0.500, 0.500], [0.000, 0.500, 0.500], [0.500, 0.000, 0.500], [0.500, 0.500, 0.000], [0.162, 0.837, 0.325], [0.163, 0.325, 0.488], [0.163, 0.675, 0.838], [0.325, 0.162, 0.837], [0.325, 0.488, 0.163], [0.488, 0.163, 0.325], [0.512, 0.837, 0.675], [0.675, 0.512, 0.837], [0.675, 0.838, 0.163], [0.837, 0.325, 0.162], [0.837, 0.675, 0.512], [0.838, 0.163, 0.675]]}

=====

Entry 3:
{"formula": "La4Tb2SmHo2", "functional": "PBE-GGA", "state": "relaxed", "dos_ef_per_ev_cell": 15.36, "e_form_ev_per_atom": 0.0272, "space_group": "C2/m", "cell": [[7.726, -2.586, 0.000], [7.726, 2.586, 0.000], [-2.528, 0.000, 7.704]], "species": ["La", "La", "La", "La", "Tb", "Tb", "Sm", "Ho", "Ho"], "fractional_positions": [[0.054, 0.054, 0.330], [0.276, 0.276, 0.668], [0.724, 0.724, 0.332], [0.946, 0.946, 0.670], [0.388, 0.388, 0.329], [0.612, 0.612, 0.671], [0.500, 0.500, 0.000], [0.168, 0.168, 0.000], [0.832, 0.832, 0.000]]}

=====

Entry 4:
{"formula": "Hf2NbAl", "functional": "PBE-GGA", "state": "relaxed", "dos_ef_per_ev_cell": 3.99, "e_form_ev_per_atom": 0.0099, "space_group": "R3m", "cell": [[1.548, 0.894, 9.695], [-1.548, 0.894, 9.695], [0.000, -1.788, 9.695]], "species": ["Hf", "Hf", "Nb", "Al"], "fractional_positions": [[0.000, 0.000, 0.000], [0.168, 0.168, 0.168], [0.751, 0.751, 0.751], [0.584, 0.584, 0.584]]}

=====

Entry 5:
{"formula": "Tm8P3Se4S", "functional": "PBE-GGA", "state": "relaxed", "dos_ef_per_ev_cell": 7.47, "space_group": "R-3m", "formation_energy_uncorrected_ev_per_atom": -1.77, "cell": [[3.948, 2.279, 6.579], [-3.948, 2.279, 6.579], [0.000, -4.558, 6.579]], "species": ["Tm", "Tm", "Tm", "Tm", "Tm", "Tm", "Tm", "Tm", "P", "P", "P", "Se", "Se", "Se", "Se", "S"], "fractional_positions": [[0.238, 0.744, 0.744], [0.242, 0.242, 0.242], [0.256, 0.256, 0.762], [0.256, 0.762, 0.256], [0.744, 0.238, 0.744], [0.744, 0.744, 0.238], [0.758, 0.758, 0.758], [0.762, 0.256, 0.256], [0.000, 0.000, 0.500], [0.000, 0.500, 0.000], [0.500, 0.000, 0.000], [0.000, 0.000, 0.000], [0.000, 0.500, 0.500], [0.500, 0.000, 0.500], [0.500, 0.500, 0.000], [0.500, 0.500, 0.500]]}

=====

Entry 6:
{"formula": "NiIr4Rh7", "functional": "PBE-GGA", "state": "relaxed", "dos_ef_per_ev_cell": 19.60, "e_form_ev_per_atom": 0.4974, "space_group": "C2/m", "cell": [[5.387, -2.253, 0.000], [5.387, 2.253, 0.000], [-5.053, 0.000, 7.852]], "species": ["Ni", "Ir", "Ir", "Ir", "Ir", "Rh", "Rh", "Rh", "Rh", "Rh", "Rh", "Rh"], "fractional_positions": [[0.000, 0.000, 0.000], [0.290, 0.290, 0.681], [0.433, 0.433, 0.225], [0.567, 0.567, 0.775], [0.710, 0.710, 0.319], [0.078, 0.078, 0.346], [0.217, 0.217, 0.904], [0.360, 0.360, 0.445], [0.500, 0.500, 0.000], [0.640, 0.640, 0.555], [0.783, 0.783, 0.096], [0.922, 0.922, 0.654]]}

=====

Entry 7:
{"formula": "ErTlFe", "functional": "PBE-GGA", "state": "relaxed", "dos_ef_per_ev_cell": 3.20, "e_form_ev_per_atom": -0.1359, "space_group": "P-3m1", "cell": [[3.864, 0.000, 0.000], [-1.932, 3.346, 0.000], [0.000, 0.000, 11.053]], "species": ["Er", "Er", "Tl", "Tl", "Fe", "Fe"], "fractional_positions": [[0.000, 0.000, 0.166], [0.000, 0.000, 0.834], [0.333, 0.667, 0.395], [0.667, 0.333, 0.605], [0.333, 0.667, 0.998], [0.667, 0.333, 0.002]]}

=====

Entry 8:
{"formula": "BeCo2NiI", "functional": "PBE-GGA", "state": "relaxed", "dos_ef_per_ev_cell": 5.28, "space_group": "P4/mmm", "formation_energy_uncorrected_ev_per_atom": 1.61, "cell": [[4.568, 0.000, 0.000], [0.000, 4.568, 0.000], [0.000, 0.000, 4.566]], "species": ["Be", "Co", "Co", "Ni", "I"], "fractional_positions": [[0.000, 0.000, 0.000], [0.000, 0.500, 0.500], [0.500, 0.000, 0.500], [0.500, 0.500, 0.000], [0.500, 0.500, 0.500]]}

=====

Entry 9:
{"formula": "FeOsRu2", "functional": "PBE-GGA", "state": "relaxed", "dos_ef_per_ev_cell": 4.47, "e_form_ev_per_atom": 0.1539, "space_group": "P2/m", "cell": [[4.623, 0.000, 0.000], [0.000, 2.675, 0.000], [-1.572, 0.000, 4.368]], "species": ["Fe", "Os", "Ru", "Ru"], "fractional_positions": [[0.000, 0.000, 0.000], [0.500, 0.500, 0.000], [0.000, 0.500, 0.500], [0.500, 0.000, 0.500]]}

=====

Entry 10:
{"formula": "BaZr2HgTe", "functional": "PBE-GGA", "state": "relaxed", "dos_ef_per_ev_cell": 4.90, "space_group": "P4/mmm", "formation_energy_uncorrected_ev_per_atom": 1.47, "cell": [[5.466, 0.000, 0.000], [0.000, 5.466, 0.000], [0.000, 0.000, 5.819]], "species": ["Ba", "Zr", "Zr", "Hg", "Te"], "fractional_positions": [[0.000, 0.000, 0.000], [0.000, 0.500, 0.000], [0.500, 0.000, 0.000], [0.000, 0.000, 0.500], [0.500, 0.500, 0.500]]}

=====

Entry 11:
{"formula": "MnS", "functional": "PBE-GGA", "state": "relaxed", "dos_ef_per_ev_cell": 6.74, "space_group": "I-43m", "formation_energy_uncorrected_ev_per_atom": -0.39, "cell": [[-3.374, 3.374, 3.374], [3.374, -3.374, 3.374], [3.374, 3.374, -3.374]], "species": ["Mn", "Mn", "Mn", "Mn", "S", "S", "S", "S"], "fractional_positions": [[0.000, 0.000, 0.268], [0.000, 0.268, 0.000], [0.268, 0.000, 0.000], [0.732, 0.732, 0.732], [0.000, 0.000, 0.637], [0.000, 0.637, 0.000], [0.363, 0.363, 0.363], [0.637, 0.000, 0.000]]}

=====

Entry 12:
{"formula": "KAg2Te2", "functional": "PBE-GGA", "state": "relaxed", "dos_ef_per_ev_cell": 3.12, "space_group": "I4/mmm", "formation_energy_uncorrected_ev_per_atom": -0.40, "cell": [[-2.294, 2.294, 7.068], [2.294, -2.294, 7.068], [2.294, 2.294, -7.068]], "species": ["K", "Ag", "Ag", "Te", "Te"], "fractional_positions": [[0.000, 0.000, 0.000], [0.250, 0.750, 0.500], [0.750, 0.250, 0.500], [0.371, 0.371, 0.000], [0.629, 0.629, 0.000]]}

=====

Entry 13:
{"formula": "TiInAu6", "functional": "PBE-GGA", "state": "relaxed", "dos_ef_per_ev_cell": 2.36, "e_form_ev_per_atom": -0.2059, "space_group": "C2/m", "cell": [[4.614, -2.091, 0.000], [4.614, 2.091, 0.000], [-3.672, 0.000, 7.527]], "species": ["Ti", "In", "Au", "Au", "Au", "Au", "Au", "Au"], "fractional_positions": [[0.000, 0.000, 0.000], [0.000, 0.000, 0.500], [0.244, 0.244, 0.363], [0.255, 0.255, 0.885], [0.497, 0.497, 0.756], [0.503, 0.503, 0.244], [0.745, 0.745, 0.115], [0.756, 0.756, 0.637]]}

=====

Entry 14:
{"formula": "LaGd3C", "functional": "PBE-GGA", "state": "relaxed", "dos_ef_per_ev_cell": 6.75, "e_form_ev_per_atom": 0.0195, "space_group": "Pm-3m", "cell": [[5.126, 0.000, 0.000], [0.000, 5.126, 0.000], [0.000, 0.000, 5.126]], "species": ["La", "Gd", "Gd", "Gd", "C"], "fractional_positions": [[0.000, 0.000, 0.000], [0.000, 0.500, 0.500], [0.500, 0.000, 0.500], [0.500, 0.500, 0.000], [0.500, 0.500, 0.500]]}

=====

Entry 15:
{"formula": "MnCr2Ni", "functional": "PBE-GGA", "state": "relaxed", "dos_ef_per_ev_cell": 2.56, "e_form_ev_per_atom": 0.0761, "space_group": "F-43m", "cell": [[0.000, 2.901, 2.901], [2.901, 0.000, 2.901], [2.901, 2.901, 0.000]], "species": ["Mn", "Cr", "Cr", "Ni"], "fractional_positions": [[0.000, 0.000, 0.000], [0.250, 0.250, 0.250], [0.500, 0.500, 0.500], [0.750, 0.750, 0.750]]}

=====

Entry 16:
{"formula": "NiOsPd3", "functional": "PBE-GGA", "state": "relaxed", "dos_ef_per_ev_cell": 9.36, "e_form_ev_per_atom": 1.6079, "space_group": "Pm-3m", "cell": [[4.778, 0.000, 0.000], [0.000, 4.778, 0.000], [0.000, 0.000, 4.778]], "species": ["Ni", "Os", "Pd", "Pd", "Pd"], "fractional_positions": [[0.000, 0.000, 0.000], [0.500, 0.500, 0.500], [0.000, 0.500, 0.500], [0.500, 0.000, 0.500], [0.500, 0.500, 0.000]]}

=====

Entry 17:
{"formula": "TbSc4In2", "functional": "PBE-GGA", "state": "relaxed", "dos_ef_per_ev_cell": 9.79, "e_form_ev_per_atom": 0.0669, "space_group": "I4/mmm", "cell": [[-2.027, 2.027, 11.032], [2.027, -2.027, 11.032], [2.027, 2.027, -11.032]], "species": ["Tb", "Sc", "Sc", "Sc", "Sc", "In", "In"], "fractional_positions": [[0.000, 0.000, 0.000], [0.139, 0.139, 0.000], [0.250, 0.750, 0.500], [0.750, 0.250, 0.500], [0.861, 0.861, 0.000], [0.413, 0.413, 0.000], [0.587, 0.587, 0.000]]}

=====

Entry 18:
{"formula": "YTe2Rh", "functional": "PBE-GGA", "state": "relaxed", "dos_ef_per_ev_cell": 0.64, "space_group": "R-3m", "formation_energy_uncorrected_ev_per_atom": -0.32, "cell": [[1.974, 1.140, 8.870], [-1.974, 1.140, 8.870], [0.000, -2.279, 8.870]], "species": ["Y", "Te", "Te", "Rh"], "fractional_positions": [[0.000, 0.000, 0.000], [0.114, 0.114, 0.114], [0.886, 0.886, 0.886], [0.500, 0.500, 0.500]]}

=====

Entry 19:
{"formula": "Cu2Re", "functional": "PBE-GGA", "state": "relaxed", "dos_ef_per_ev_cell": 3.52, "e_form_ev_per_atom": 0.3550, "space_group": "I4_1/amd", "cell": [[-1.279, 1.279, 12.530], [1.279, -1.279, 12.530], [1.279, 1.279, -12.530]], "species": ["Cu", "Cu", "Cu", "Cu", "Re", "Re"], "fractional_positions": [[0.293, 0.543, 0.750], [0.457, 0.707, 0.750], [0.543, 0.293, 0.250], [0.707, 0.457, 0.250], [0.125, 0.875, 0.250], [0.875, 0.125, 0.750]]}

=====

Entry 20:
{"formula": "LiSn2Rh4", "functional": "PBE-GGA", "state": "relaxed", "dos_ef_per_ev_cell": 9.12, "e_form_ev_per_atom": 0.0582, "space_group": "I4/mmm", "cell": [[-2.075, 2.075, 6.727], [2.075, -2.075, 6.727], [2.075, 2.075, -6.727]], "species": ["Li", "Sn", "Sn", "Rh", "Rh", "Rh", "Rh"], "fractional_positions": [[0.000, 0.000, 0.000], [0.364, 0.364, 0.000], [0.636, 0.636, 0.000], [0.000, 0.500, 0.500], [0.172, 0.172, 0.000], [0.500, 0.000, 0.500], [0.828, 0.828, 0.000]]}